A relaxed Hg2SbIr crystal, computed with PBE-GGA.

```
12
Lattice="3.5417 0.0000 0.0000 -1.7708 3.0672 0.0000 0.0000 0.0000 27.1027" Properties=species:S:1:pos:R:3 pbc="T T T"
Hg 0.0000 0.0000 0.0000
Hg 0.0000 0.0000 6.4525
Hg 0.0000 2.0448 18.0685
Hg 0.0000 2.0448 24.5210
Hg 1.7708 1.0224 9.0342
Hg 1.7708 1.0224 15.4868
Sb 0.0000 0.0000 12.6609
Sb 0.0000 2.0448 3.6267
Sb 1.7708 1.0224 21.6952
Ir 0.0000 0.0000 20.1062
Ir 0.0000 2.0448 11.0720
Ir 1.7708 1.0224 2.0377
```

Values from the calculation:
* formation energy (no corrections): 127 meV per atom
* space group: R3m

---

A relaxed PPbN2 crystal, computed with PBE-GGA.

```
16
Lattice="5.3251 0.0000 0.0000 0.0000 5.3251 0.0000 0.0000 0.0000 7.5351" Properties=species:S:1:pos:R:3 pbc="T T T"
P 0.0000 0.0000 0.0000
P 0.0000 2.6626 1.8838
P 2.6626 0.0000 5.6513
P 2.6626 2.6626 3.7675
Pb 0.0000 0.0000 3.7675
Pb 0.0000 2.6626 5.6513
Pb 2.6626 0.0000 1.8838
Pb 2.6626 2.6626 0.0000
N 0.0367 1.3313 0.9419
N 1.3313 2.6992 2.8257
N 1.3313 5.2884 6.5932
N 2.6259 1.3313 4.7094
N 2.6992 3.9938 4.7094
N 3.9938 0.0367 6.5932
N 3.9938 2.6259 2.8257
N 5.2884 3.9938 0.9419
```

Values from the calculation:
* formation energy (no corrections): 163 meV per atom
* E above lowest polymorph: 0 meV per atom
* space group: I-42d

---

A relaxed InPdS2N crystal, computed with PBE-GGA.

```
5
Lattice="5.0744 0.0000 0.0000 0.0000 5.0744 0.0000 0.0000 0.0000 4.0423" Properties=species:S:1:pos:R:3 pbc="T T T"
In 0.0000 0.0000 0.0000
Pd 2.5372 2.5372 2.0211
S 0.0000 2.5372 0.0000
S 2.5372 0.0000 0.0000
N 0.0000 0.0000 2.0211
```

Values from the calculation:
* formation energy (no corrections): 1284 meV per atom
* E above lowest polymorph: 704 meV per atom
* space group: P4/mmm

---

A relaxed BaSi2PdPt2 crystal, computed with PBE-GGA.

```
6
Lattice="4.2508 0.0000 0.0000 -2.1254 3.6813 0.0000 0.0000 0.0000 7.6889" Properties=species:S:1:pos:R:3 pbc="T T T"
Ba 0.0000 0.0000 0.0000
Si 0.0000 2.4542 2.6008
Si 2.1254 1.2271 5.0880
Pd 0.0000 0.0000 3.8444
Pt 0.0000 2.4542 5.2037
Pt 2.1254 1.2271 2.4852
```

Values from the calculation:
* formation energy (no corrections): -806 meV per atom
* space group: P-3m1

---

A relaxed NiIrS3 crystal, computed with PBE-GGA.

```
5
Lattice="4.6244 0.0000 0.0000 0.0000 4.6244 0.0000 0.0000 0.0000 4.6244" Properties=species:S:1:pos:R:3 pbc="T T T"
Ni 0.0000 0.0000 0.0000
Ir 2.3122 2.3122 2.3122
S 0.0000 2.3122 2.3122
S 2.3122 0.0000 2.3122
S 2.3122 2.3122 0.0000
```

Values from the calculation:
* formation energy (no corrections): 960 meV per atom
* E above lowest polymorph: 1183 meV per atom
* space group: Pm-3m

---

A relaxed BaReTe2 crystal, computed with PBE-GGA.

```
16
Lattice="7.8576 0.0000 0.0000 0.0000 7.8576 0.0000 0.0000 0.0000 7.8576" Properties=species:S:1:pos:R:3 pbc="T T T"
Ba 0.0000 0.0000 0.0000
Ba 0.0000 3.9288 3.9288
Ba 3.9288 0.0000 3.9288
Ba 3.9288 3.9288 0.0000
Re 1.9644 1.9644 5.8932
Re 1.9644 5.8932 1.9644
Re 5.8932 1.9644 1.9644
Re 5.8932 5.8932 5.8932
Te 0.0000 0.0000 3.9288
Te 0.0000 3.9288 0.0000
Te 1.9644 1.9644 1.9644
Te 1.9644 5.8932 5.8932
Te 3.9288 0.0000 0.0000
Te 3.9288 3.9288 3.9288
Te 5.8932 1.9644 5.8932
Te 5.8932 5.8932 1.9644
```

Values from the calculation:
* formation energy (no corrections): 804 meV per atom
* E above lowest polymorph: 1080 meV per atom
* space group: F-43m

---

A relaxed Hf2NpSe6 crystal, computed with PBE-GGA.

```
9
Lattice="6.7919 -2.5065 0.0000 6.7919 2.5065 0.0000 -5.3605 0.0000 7.3978" Properties=species:S:1:pos:R:3 pbc="T T T"
Hf 1.8209 0.0000 0.8110
Hf 6.4023 0.0000 6.5868
Np -2.6803 0.0000 3.6989
Se -0.6519 0.0000 1.5782
Se -1.2579 0.0000 6.5086
Se 2.5786 0.0000 3.3044
Se 5.6446 0.0000 4.0935
Se 9.4811 0.0000 0.8892
Se 8.8751 0.0000 5.8196
```

Values from the calculation:
* formation energy (no corrections): -1089 meV per atom
* E above lowest polymorph: 138 meV per atom
* space group: C2/m

---

A relaxed Y6Tm3Th2 crystal, computed with PBE-GGA.

```
22
Lattice="5.9172 0.0000 0.0000 0.0000 12.5052 0.0000 0.0000 0.0000 10.1797" Properties=species:S:1:pos:R:3 pbc="T T T"
Y 1.1266 2.5018 0.0000
Y 1.2716 2.7542 3.4562
Y 1.2716 2.7542 6.7235
Y 1.6870 9.0068 1.6336
Y 1.6870 9.0068 8.5461
Y 1.8320 8.7544 5.0898
Y 4.0852 3.7508 5.0898
Y 4.2302 3.4984 1.6336
Y 4.2302 3.4984 8.5461
Y 4.6456 9.7511 3.4562
Y 4.6456 9.7511 6.7235
Y 4.7906 10.0034 0.0000
Tm 0.0000 0.0000 1.8255
Tm 0.0000 0.0000 8.3542
Tm 0.0000 6.2526 5.0898
Tm 2.9586 0.0000 0.0000
Tm 2.9586 6.2526 3.2643
Tm 2.9586 6.2526 6.9154
Th 1.4151 11.8366 5.0898
Th 1.5435 5.5839 0.0000
Th 4.3737 6.9213 0.0000
Th 4.5021 0.6687 5.0898
```

Values from the calculation:
* formation enthalpy at 0 K: 0.339 eV per atom
* space group: Pnnm

---

A relaxed DyYZnCd crystal, computed with PBE-GGA.

```
16
Lattice="7.3375 0.0000 0.0000 0.0000 7.3375 0.0000 0.0000 0.0000 7.3375" Properties=species:S:1:pos:R:3 pbc="T T T"
Dy 0.0000 0.0000 0.0000
Dy 0.0000 3.6687 3.6687
Dy 3.6687 0.0000 3.6687
Dy 3.6687 3.6687 0.0000
Y 0.0000 0.0000 3.6687
Y 0.0000 3.6687 0.0000
Y 3.6687 0.0000 0.0000
Y 3.6687 3.6687 3.6687
Zn 1.8344 1.8344 1.8344
Zn 1.8344 5.5031 5.5031
Zn 5.5031 1.8344 5.5031
Zn 5.5031 5.5031 1.8344
Cd 1.8344 1.8344 5.5031
Cd 1.8344 5.5031 1.8344
Cd 5.5031 1.8344 1.8344
Cd 5.5031 5.5031 5.5031
```

Values from the calculation:
* formation enthalpy at 0 K: -0.328 eV per atom
* E above lowest polymorph: 17 meV per atom
* space group: F-43m

---

A relaxed Tl2SiMo crystal, computed with PBE-GGA.

```
8
Lattice="3.1741 0.0000 0.0000 0.0000 3.7708 0.0000 0.0000 0.0000 15.7840" Properties=species:S:1:pos:R:3 pbc="T T T"
Tl 0.0000 0.0000 2.7152
Tl 0.0000 0.0000 13.0688
Tl 1.5870 1.8854 5.1768
Tl 1.5870 1.8854 10.6072
Si 0.0000 1.8854 0.0000
Si 1.5870 0.0000 7.8920
Mo 0.0000 1.8854 7.8920
Mo 1.5870 0.0000 0.0000
```

Values from the calculation:
* formation energy (no corrections): 290 meV per atom
* E above lowest polymorph: 0 meV per atom
* space group: Immm

---

A relaxed Sr2CuSi crystal, computed with PBE-GGA.

```
12
Lattice="4.2742 0.0000 0.0000 -2.1371 3.7016 0.0000 0.0000 0.0000 24.4032" Properties=species:S:1:pos:R:3 pbc="T T T"
Sr 0.0000 0.0000 0.0000
Sr 0.0000 0.0000 4.0920
Sr 0.0000 2.4677 16.2688
Sr 0.0000 2.4677 20.3608
Sr 2.1371 1.2339 8.1344
Sr 2.1371 1.2339 12.2264
Cu 0.0000 0.0000 18.3157
Cu 0.0000 2.4677 10.1813
Cu 2.1371 1.2339 2.0469
Si 0.0000 0.0000 10.1755
Si 0.0000 2.4677 2.0412
Si 2.1371 1.2339 18.3099
```

Values from the calculation:
* formation energy (no corrections): -315 meV per atom
* space group: R3m

---

A relaxed Cu2SiRh crystal, computed with PBE-GGA.

```
4
Lattice="3.5869 0.0000 0.0000 0.0000 3.5869 0.0000 0.0000 0.0000 3.8988" Properties=species:S:1:pos:R:3 pbc="T T T"
Cu 0.0000 1.7935 0.0000
Cu 1.7935 0.0000 0.0000
Si 0.0000 0.0000 1.9494
Rh 1.7935 1.7935 1.9494
```

Values from the calculation:
* formation energy (no corrections): -279 meV per atom
* space group: P4/mmm